Entry from Alexandria via LeMat-Bulk: As3Ir5 after structural relaxation (GGA-PBE).

Calculated values
- Energy: -7.17 eV/atom
- Size of the total moment: 0.0 μB per cell
- Calculated density: 15.1 g/cm3
- Relative energy among the computed polymorphs: 0 meV/atom
- V: 16.31 Å³/atom
- Formation enthalpy at 0 K: 0.11 eV/atom

a = 7.1786 Å, b = 7.1786 Å, c = 7.1331 Å
α = 100.81°, β = 100.81°, γ = 128.17°
With the nearest neighbours (Å) after each atom.
Sites, in units of the cell vectors:
As1 0.0000 0.0000 0.0000  5 Ir 2.41-2.58
As2 0.1953 0.5486 0.6638  7 Ir 2.42-2.67
As3 0.2489 0.7505 0.1601  7 Ir 2.45-2.65
As4 0.5486 0.1953 0.6638  7 Ir 2.42-2.67
As5 0.6678 0.6678 0.3367  5 Ir 2.41-2.57
As6 0.7505 0.2489 0.1601  7 Ir 2.45-2.65
Ir1 0.0098 0.0098 0.6659  2 As 2.41
Ir2 0.1128 0.7522 0.4505  3 As 2.45-2.52, 1 Ir 2.72
Ir3 0.1980 0.4103 0.2958  5 As 2.53-2.64, 2 Ir 2.74-2.75
Ir4 0.3177 0.9559 0.8791  5 As 2.47-2.75, 2 Ir 2.71-2.76
Ir5 0.4103 0.1980 0.2958  5 As 2.53-2.64, 2 Ir 2.74-2.75
Ir6 0.5015 0.5015 0.6659  2 As 2.42
Ir7 0.5655 0.7768 0.0363  5 As 2.50-2.67, 2 Ir 2.73-2.75
Ir8 0.7522 0.1128 0.4505  3 As 2.45-2.52, 1 Ir 2.72
Ir9 0.7768 0.5655 0.0363  5 As 2.50-2.67, 2 Ir 2.73-2.75
Ir10 0.9559 0.3177 0.8791  5 As 2.47-2.75, 2 Ir 2.71-2.76